No. 1
First-principles (PBE) data for an optimized crystal structure of Be3NbCu, as listed in Alexandria.

The calculation puts the formation enthalpy at 0 K at 0.3810 eV per atom. The distance to the lowest polymorph of the same formula comes out at 0.000 eV per atom. As for the density of states at the Fermi level: 1.7 states/eV/f.u.

```
Be3NbCu
1.0
3.914 0.000 0.000
0.000 3.914 0.000
0.000 0.000 3.914
Be Nb Cu
3 1 1
Cartesian
0.000 1.957 0.000 Be
0.000 0.000 1.957 Be
1.957 0.000 0.000 Be
1.957 1.957 1.957 Nb
0.000 0.000 0.000 Cu
```

No. 2
First-principles (PBE) data for an optimized crystal structure of SrCdAs2Rh5, as listed in Alexandria.

The calculation puts the formation enthalpy at 0 K at -0.2285 eV per atom. As for the density of states at the Fermi level: 4.9 states/eV/f.u.

```
SrCdAs2Rh5
1.0
-3.596 1.457 1.244
-1.726 -3.611 -0.761
2.247 -3.243 10.294
Sr Cd As Rh
1 1 2 5
Cartesian
1.124 -1.622 5.147 Sr
0.000 0.000 0.000 Cd
-2.020 -2.002 3.179 As
-1.055 -3.395 7.599 As
-0.481 -2.357 1.371 Rh
-1.416 0.177 2.373 Rh
1.002 -4.497 8.162 Rh
0.067 -1.963 9.165 Rh
-1.537 -2.699 5.389 Rh
```

No. 3
First-principles (PBE) data for an optimized crystal structure of CaNd3Au2, as listed in Alexandria.

The calculation puts the formation enthalpy at 0 K at -0.5596 eV per atom. As for the density of states at the Fermi level: 6.5 states/eV/f.u.

```
CaNd3Au2
1.0
-0.483 5.048 0.203
-5.018 -0.256 -5.595
-6.808 -0.899 6.147
Ca Nd Au
2 6 4
Cartesian
-6.734 1.876 0.745 Ca
-3.220 2.137 2.636 Ca
-8.723 -0.953 2.941 Nd
-5.486 -0.323 -5.045 Nd
-4.651 2.207 -2.512 Nd
-6.667 1.737 4.372 Nd
-3.989 -0.384 0.060 Nd
-8.838 -0.821 -0.625 Nd
-9.779 1.569 1.132 Au
-2.517 2.325 -0.362 Au
-5.668 -0.648 2.608 Au
-6.136 -0.506 -2.032 Au
```

No. 4
First-principles (PBE) data for an optimized crystal structure of CsCd2Sb2Pb, as listed in Alexandria.

The uncorrected formation energy is -194 meV/atom. As for the density of states at the Fermi level: 1.7 states/eV/f.u.

```
CsCd2Sb2Pb
1.0
5.180 0.000 0.000
-2.590 4.486 0.000
0.000 0.000 9.012
Cs Cd Sb Pb
1 2 2 1
Cartesian
0.000 0.000 0.000 Cs
2.590 1.495 5.927 Cd
0.000 2.991 3.085 Cd
2.590 1.495 2.691 Sb
0.000 2.991 6.320 Sb
0.000 0.000 4.506 Pb
```

No. 5
First-principles (PBE) data for an optimized crystal structure of SiPbS2O8, as listed in Alexandria.

The uncorrected formation energy is -1245 meV/atom. As for the density of states at the Fermi level: 0.0 states/eV/f.u.

```
SiPbS2O8
1.0
5.022 -0.138 0.018
2.194 4.520 0.018
0.370 0.224 7.894
Si Pb S O
1 1 2 8
Cartesian
0.000 0.000 0.000 Si
0.185 0.112 3.947 Pb
4.695 2.850 1.894 S
2.892 1.756 6.036 S
4.274 1.158 6.117 O
5.500 3.339 0.748 O
5.274 3.202 3.217 O
2.312 1.404 4.713 O
2.086 1.267 7.182 O
2.999 3.258 6.117 O
4.587 1.348 1.812 O
3.312 3.448 1.812 O
```

No. 6
First-principles (PBE) data for an optimized crystal structure of InCuRe4, as listed in Alexandria.

The calculation puts the formation enthalpy at 0 K at 0.6513 eV per atom. As for the density of states at the Fermi level: 5.2 states/eV/f.u.

```
InCuRe4
1.0
1.149 -0.801 5.044
2.452 3.720 2.749
-2.576 2.632 3.721
In Cu Re
1 1 4
Cartesian
0.000 0.000 0.000 In
0.769 4.163 8.635 Cu
0.956 1.686 6.834 Re
-0.897 3.394 6.176 Re
1.605 3.936 5.692 Re
0.385 2.085 4.325 Re
```

No. 7
First-principles (PBE) data for an optimized crystal structure of Pm4SmTe2, as listed in Alexandria.

The uncorrected formation energy is 36 meV/atom. As for the density of states at the Fermi level: 9.8 states/eV/f.u.

```
Pm4SmTe2
1.0
-2.977 -0.411 -4.718
2.412 -4.927 -1.093
-5.643 -1.134 6.975
Pm Sm Te
4 1 2
Cartesian
-3.969 -5.035 -0.373 Pm
-2.239 -1.437 1.538 Pm
1.206 -2.464 -0.546 Pm
-1.488 -0.205 -2.359 Pm
0.000 0.000 0.000 Sm
-1.764 -3.620 -1.888 Te
-4.444 -2.852 3.052 Te
```

No. 8
First-principles (PBE) data for an optimized crystal structure of Tb2PmSmTh, as listed in Alexandria.

The calculation puts the formation enthalpy at 0 K at 0.4186 eV per atom. As for the density of states at the Fermi level: 7.7 states/eV/f.u.

```
Tb2PmSmTh
1.0
-6.345 0.250 2.839
-2.668 -6.110 -5.424
2.935 -1.151 6.661
Tb Pm Sm Th
4 2 2 2
Cartesian
-4.018 -1.811 -0.299 Tb
-1.822 -4.174 -3.706 Tb
-4.995 -4.049 -2.286 Tb
-0.845 -1.936 -1.719 Tb
-2.181 -4.933 -0.180 Pm
-3.896 -2.078 4.256 Pm
-5.357 -4.798 1.229 Sm
-0.720 -2.213 2.846 Sm
-1.585 0.060 0.712 Th
-4.492 -7.071 3.364 Th
```

For reference, magnetization by record: 0.0000 0.0000 0.0000 0.0000 0.0000 0.0000 0.0000 0.0000 μB per atom.